LiNi2Ru: optimized geometry, PBEsol.

```
4
Lattice="0.000 2.807 2.807 2.807 0.000 2.807 2.807 2.807 0.000" Properties=species:S:1:pos:R:3 pbc="T T T"
Li 0.000 0.000 0.000
Ni 1.403 1.403 1.403
Ni 2.807 2.807 2.807
Ru 4.210 4.210 4.210
```

As for the space group: F-43m (216). Its calculated density is 8.5 Mg/m³. As for the formation energy: 0.25 eV/atom. The offset from the most stable computed form is 0.78 eV/f.u.

Si2BPBr: optimized geometry, PBEsol.

```
5
Lattice="4.945 0.000 0.000 0.000 4.945 0.000 0.000 0.000 3.608" Properties=species:S:1:pos:R:3 pbc="T T T"
Si 0.000 2.472 0.000
Si 2.472 0.000 0.000
B 0.000 0.000 1.804
P 0.000 0.000 0.000
Br 2.472 2.472 1.804
```

The uncorrected formation energy comes out at 0.93 eV/atom. As for the space group: P4/mmm (123). Its calculated density is 3.3 Mg/m³.

RuCl3: optimized geometry, PBEsol.

```
4
Lattice="4.230 0.000 0.000 0.000 4.230 0.000 0.000 0.000 4.230" Properties=species:S:1:pos:R:3 pbc="T T T"
Ru 0.000 0.000 0.000
Cl 0.000 2.115 2.115
Cl 2.115 0.000 2.115
Cl 2.115 2.115 0.000
```

The uncorrected formation energy comes out at 0.95 eV/atom. As for the space group: Pm-3m (221). Its calculated density is 4.6 Mg/m³.

Li2FeCu: optimized geometry, PBEsol.

```
4
Lattice="1.244 0.718 8.739 -1.244 0.718 8.739 0.000 -1.437 8.739" Properties=species:S:1:pos:R:3 pbc="T T T"
Li 0.000 0.000 6.552
Li 0.000 0.000 19.663
Fe 0.000 0.000 0.000
Cu 0.000 0.000 13.108
```

As for the space group: R-3m (166). Its calculated density is 4.7 Mg/m³. As for the formation energy: 0.17 eV/atom.

Ag2AuSe: optimized geometry, PBEsol.

```
4
Lattice="-2.033 2.033 4.243 2.033 -2.033 4.243 2.033 2.033 -4.243" Properties=species:S:1:pos:R:3 pbc="T T T"
Ag 0.000 0.000 0.000
Ag 0.000 2.033 2.121
Au 0.000 0.000 4.243
Se 2.033 0.000 2.121
```

The uncorrected formation energy comes out at 0.08 eV/atom. As for the space group: I-4m2 (119). Its calculated density is 11.6 Mg/m³.

NaFeIrN2: optimized geometry, PBEsol.

```
5
Lattice="3.614 0.000 0.000 0.000 3.614 0.000 0.000 0.000 4.602" Properties=species:S:1:pos:R:3 pbc="T T T"
Na 0.000 0.000 0.000
Fe 0.000 0.000 2.301
Ir 1.807 1.807 0.000
N 0.000 1.807 2.301
N 1.807 0.000 2.301
```

The uncorrected formation energy comes out at 1.61 eV/atom. As for the space group: P4/mmm (123). Its calculated density is 8.3 Mg/m³.

Li2Cu: optimized geometry, PBEsol.

```
24
Lattice="0.000 5.667 5.667 5.667 0.000 5.667 5.667 5.667 0.000" Properties=species:S:1:pos:R:3 pbc="T T T"
Li 0.000 0.000 0.000
Li 2.834 2.834 0.000
Li 2.834 0.000 2.834
Li 4.251 4.251 2.047
Li 4.251 2.047 4.251
Li 6.454 4.251 4.251
Li 7.084 7.084 4.881
Li 7.084 4.881 7.084
Li 9.288 7.084 7.084
Li 0.000 2.834 2.834
Li 2.047 4.251 4.251
Li 4.251 6.454 4.251
Li 4.251 4.251 6.454
Li 4.881 7.084 7.084
Li 7.084 9.288 7.084
Li 7.084 7.084 9.288
Cu 9.023 5.145 5.145
Cu 2.312 2.312 2.312
Cu 6.190 6.190 2.312
Cu 6.190 2.312 6.190
Cu 5.145 9.023 5.145
Cu 5.145 5.145 9.023
Cu 9.023 9.023 9.023
Cu 2.312 6.190 6.190
```

As for the space group: Fd-3m (227). Its calculated density is 2.8 Mg/m³. As for the formation energy: 0.03 eV/atom.

Li2TePb: optimized geometry, PBEsol.

```
4
Lattice="-2.289 2.289 4.369 2.289 -2.289 4.369 2.289 2.289 -4.369" Properties=species:S:1:pos:R:3 pbc="T T T"
Li 2.289 0.000 2.184
Li 0.000 2.289 2.184
Te 0.000 0.000 0.000
Pb 0.000 0.000 4.369
```

The uncorrected formation energy comes out at -0.45 eV/atom. As for the space group: I4/mmm (139). Its calculated density is 6.3 Mg/m³. The offset from the most stable computed form is 0.23 eV/f.u.

BeGeAs2Se: optimized geometry, PBEsol.

```
5
Lattice="4.451 0.000 0.000 0.000 4.451 0.000 0.000 0.000 4.627" Properties=species:S:1:pos:R:3 pbc="T T T"
Be 0.000 0.000 0.000
Ge 2.225 2.225 2.313
As 0.000 2.225 0.000
As 2.225 0.000 0.000
Se 0.000 0.000 2.313
```

The uncorrected formation energy comes out at 0.43 eV/atom. As for the space group: P4/mmm (123). Its calculated density is 5.6 Mg/m³.

RbAsCl2: optimized geometry, PBEsol.

```
4
Lattice="0.000 3.714 3.714 3.714 0.000 3.714 3.714 3.714 0.000" Properties=species:S:1:pos:R:3 pbc="T T T"
Rb 0.000 0.000 0.000
As 3.714 3.714 3.714
Cl 1.857 1.857 1.857
Cl 5.572 5.572 5.572
```

The uncorrected formation energy comes out at -0.40 eV/atom. As for the space group: Fm-3m (225). Its calculated density is 3.7 Mg/m³.

SnHCl3: optimized geometry, PBEsol.

```
5
Lattice="4.421 0.000 0.000 0.000 4.421 0.000 0.000 0.000 4.421" Properties=species:S:1:pos:R:3 pbc="T T T"
Sn 0.000 0.000 0.000
H 2.211 2.211 2.211
Cl 0.000 2.211 2.211
Cl 2.211 0.000 2.211
Cl 2.211 2.211 0.000
```

As for the space group: Pm-3m (221). As for the energy: -2.95 eV per atom. Its calculated density is 4.3 Mg/m³.

LaGe3C: optimized geometry, PBEsol.

```
5
Lattice="4.495 0.000 0.000 0.000 4.495 0.000 0.000 0.000 4.495" Properties=species:S:1:pos:R:3 pbc="T T T"
La 0.000 0.000 0.000
Ge 0.000 2.247 2.247
Ge 2.247 0.000 2.247
Ge 2.247 2.247 0.000
C 2.247 2.247 2.247
```

As for the space group: Pm-3m (221). Its calculated density is 6.7 Mg/m³. As for the formation energy: 0.41 eV/atom.

> The lowest calculated density belongs to which entry?

Li2Cu

Repeat the seventh record exactly.
Li2Cu: optimized geometry, PBEsol.

```
24
Lattice="0.000 5.667 5.667 5.667 0.000 5.667 5.667 5.667 0.000" Properties=species:S:1:pos:R:3 pbc="T T T"
Li 0.000 0.000 0.000
Li 2.834 2.834 0.000
Li 2.834 0.000 2.834
Li 4.251 4.251 2.047
Li 4.251 2.047 4.251
Li 6.454 4.251 4.251
Li 7.084 7.084 4.881
Li 7.084 4.881 7.084
Li 9.288 7.084 7.084
Li 0.000 2.834 2.834
Li 2.047 4.251 4.251
Li 4.251 6.454 4.251
Li 4.251 4.251 6.454
Li 4.881 7.084 7.084
Li 7.084 9.288 7.084
Li 7.084 7.084 9.288
Cu 9.023 5.145 5.145
Cu 2.312 2.312 2.312
Cu 6.190 6.190 2.312
Cu 6.190 2.312 6.190
Cu 5.145 9.023 5.145
Cu 5.145 5.145 9.023
Cu 9.023 9.023 9.023
Cu 2.312 6.190 6.190
```

As for the space group: Fd-3m (227). Its calculated density is 2.8 Mg/m³. As for the formation energy: 0.03 eV/atom.

Copy entry 10 word for word.
RbAsCl2: optimized geometry, PBEsol.

```
4
Lattice="0.000 3.714 3.714 3.714 0.000 3.714 3.714 3.714 0.000" Properties=species:S:1:pos:R:3 pbc="T T T"
Rb 0.000 0.000 0.000
As 3.714 3.714 3.714
Cl 1.857 1.857 1.857
Cl 5.572 5.572 5.572
```

The uncorrected formation energy comes out at -0.40 eV/atom. As for the space group: Fm-3m (225). Its calculated density is 3.7 Mg/m³.